The following is a PBE with a Hubbard U calculation of an optimized crystal structure of ScCrTc2O, from Alexandria via LeMat-Bulk.

abc: 4.2936 5.1932 4.2936
angles: 90.00 90.00 90.00
Last column: magnetic moment on the atom in μB.
Sites, in units of the cell vectors:
O1 0.5000 0.5000 0.5000  0.60
Cr1 0.0000 0.0000 0.0000  0.54
Tc1 0.0000 0.0000 0.5000  0.69
Tc2 0.5000 0.0000 0.0000  0.90
Sc1 0.0000 0.5000 0.0000  -0.04

Values from the calculation:
- Density of states at the Fermi level: 6.14 states/eV/f.u.
- Final energy: -31.29 eV/cell
- Total magnetic moment: 2.957 μB/cell
- Space-group type: P4/mmm
- Polymorph energy (0 for the lowest one): 88.5 kJ per mole of atoms